(1)
Li2ThPbSe4 PBE-GGA relaxed; ΔE_f (raw) = -1244.0 meV per atom
1.0
4.2549 0.0000 0.0000
0.0000 6.9286 -0.0251
0.0000 2.5616 6.9531
Se Li Th Pb
4 2 1 1
Cartesian
2.1275 3.5655 5.1384
2.1275 5.9246 1.7896
4.2550 2.3347 1.8751
0.0001 7.1555 5.0529
0.0000 2.5616 6.9531
2.1275 1.2808 3.4765
0.0000 4.7451 3.4640
2.1275 3.4643 -0.0126

***

(2)
Eu2Ti2O7 PBE-GGA relaxed; ΔE_f (raw) = -2964.0 meV per atom
1.0
-4.5005 -3.8597 -4.2507
-2.9710 -6.1780 2.4951
-7.1290 -0.2626 1.5261
O Eu Ti
14 4 4
Cartesian
-8.4198 -5.6662 1.5392
-7.3687 -7.1047 -0.7709
0.0000 0.0000 0.0000
-12.0699 -8.2413 1.4819
-9.0314 -4.7392 -1.1584
-6.1806 -4.6341 -1.7687
-12.6815 -7.3143 -1.2158
-7.2317 -3.1957 0.5414
-3.6501 -2.5751 -0.0574
-5.5690 -5.5612 0.9289
-9.8307 -7.2092 -1.8260
-11.0188 -9.6798 -0.8283
-9.2191 -8.1363 0.8716
-10.8818 -5.7708 0.4841
-4.0753 -3.2174 -2.1540
-1.8251 -1.2875 -0.0287
-5.3895 -1.4189 0.7344
-3.3105 -4.3766 1.2189
-7.6398 -3.3487 -1.3910
-5.5608 -6.3064 -0.9065
-6.8750 -4.5079 1.9819
-9.1253 -6.4377 -0.1434

***

(3)
CaNd4Tm3Se8 PBE-GGA relaxed; ΔE_f (raw) = -1792.0 meV per atom
1.0
8.1669 0.0000 0.0000
0.0000 8.4157 0.1692
-4.0835 -4.0790 5.7787
Se Tm Nd Ca
8 3 4 1
Cartesian
6.1015 2.1996 0.1264
2.0654 2.1996 0.1264
4.0835 0.1837 2.9831
0.0000 0.1819 3.0145
2.0181 2.1372 5.8215
-2.0181 2.1372 5.8215
0.0000 4.1530 2.9648
4.0835 4.1549 2.9334
-2.0417 2.1684 2.9740
2.0417 2.1684 2.9740
4.0835 4.2079 0.0846
-2.0417 -2.0395 2.8893
0.0000 0.0000 0.0000
2.0417 -2.0395 2.8893
4.0835 0.0000 0.0000
0.0000 4.2079 0.0846

***

(4)
ZnSb2Rh PBE-GGA relaxed; ΔE_f (raw) = 64.3 meV per atom
1.0
-3.9072 -2.5883 3.7099
-0.2529 -4.7696 -3.5939
2.5686 -6.2584 3.1543
Sb Zn Rh
4 2 2
Cartesian
0.0809 -4.8126 -1.0748
0.3720 -7.3489 2.4876
-1.9167 -3.8349 2.7390
-1.7191 -11.2359 2.3889
-2.0800 -3.6789 0.0580
0.1179 -7.3534 -0.1908
0.0000 0.0000 0.0000
-1.7093 -6.2628 3.4611

***

(5)
YHoTmIn PBE-GGA relaxed; formation energy = -0.265 eV per atom; excess energy over the best structure of this formula in the dataset = 0 meV per atom
1.0
-2.9306 -2.4398 -2.9365
3.1517 -3.6689 -0.0971
-2.1792 -1.9729 3.8140
Tm Y Ho In
1 1 1 1
Cartesian
0.1106 -3.0543 -1.5168
0.0000 0.0000 0.0000
0.4863 -2.8209 1.8584
-2.5549 -2.2063 0.4387

***

What did the first record say?
Li2ThPbSe4 PBE-GGA relaxed; ΔE_f (raw) = -1244.0 meV per atom
1.0
4.2549 0.0000 0.0000
0.0000 6.9286 -0.0251
0.0000 2.5616 6.9531
Se Li Th Pb
4 2 1 1
Cartesian
2.1275 3.5655 5.1384
2.1275 5.9246 1.7896
4.2550 2.3347 1.8751
0.0001 7.1555 5.0529
0.0000 2.5616 6.9531
2.1275 1.2808 3.4765
0.0000 4.7451 3.4640
2.1275 3.4643 -0.0126

***

What is the formula in the fourth record?
ZnSb2Rh

***

Repeat the fifth record exactly.
YHoTmIn PBE-GGA relaxed; formation energy = -0.265 eV per atom; excess energy over the best structure of this formula in the dataset = 0 meV per atom
1.0
-2.9306 -2.4398 -2.9365
3.1517 -3.6689 -0.0971
-2.1792 -1.9729 3.8140
Tm Y Ho In
1 1 1 1
Cartesian
0.1106 -3.0543 -1.5168
0.0000 0.0000 0.0000
0.4863 -2.8209 1.8584
-2.5549 -2.2063 0.4387